# PBE Y2ZrCdCl, relaxed
data_Y2ZrCdCl
_symmetry_space_group_name_H-M 'P 4/m m m'
_symmetry_Int_Tables_number 123
_symmetry_space_group_name_Hall '-P 4 2'
_cell_length_a 5.7692
_cell_length_b 5.7692
_cell_length_c 5.1370
_cell_angle_alpha 90.00
_cell_angle_beta 90.00
_cell_angle_gamma 90.00
loop_
_atom_site_label
_atom_site_type_symbol
_atom_site_fract_x
_atom_site_fract_y
_atom_site_fract_z
Y1 Y 0.0000 0.5000 0.0000
Zr1 Zr 0.0000 0.0000 0.5000
Cd1 Cd 0.5000 0.5000 0.0000
Cl1 Cl 0.5000 0.5000 0.5000
# density	4.05	g/cm3
# ΔE_f (raw)	0.761	eV per atom
# D(E_F)	1.1117	states/eV per atom
# magnetization	3.30	μB per cell


# PBE Zn2CdCl, relaxed
data_Zn2CdCl
_symmetry_space_group_name_H-M 'P 1 2/m 1'
_symmetry_Int_Tables_number 10
_symmetry_space_group_name_Hall '-P 2y'
_cell_length_a 3.5310
_cell_length_b 5.4540
_cell_length_c 4.6387
_cell_angle_alpha 90.00
_cell_angle_beta 97.94
_cell_angle_gamma 90.00
loop_
_atom_site_label
_atom_site_type_symbol
_atom_site_fract_x
_atom_site_fract_y
_atom_site_fract_z
Zn1 Zn 0.2080 0.0000 0.2585
Cd1 Cd 0.0000 0.5000 0.5000
Cl1 Cl 0.5000 0.5000 0.0000
# density	5.23	g/cm3
# distance to the lowest polymorph of the same formula	142.8	meV per atom
# ΔE_f (raw)	-0.006	eV per atom
# D(E_F)	0.2602	states/eV per atom
# magnetization	0.00	μB per cell


# PBE Zn3CdCl, relaxed
data_Zn3CdCl
_symmetry_space_group_name_H-M 'P m -3 m'
_symmetry_Int_Tables_number 221
_symmetry_space_group_name_Hall '-P 4 2 3'
_cell_length_a 5.0850
_cell_length_b 5.0850
_cell_length_c 5.0850
_cell_angle_alpha 90.00
_cell_angle_beta 90.00
_cell_angle_gamma 90.00
loop_
_atom_site_label
_atom_site_type_symbol
_atom_site_fract_x
_atom_site_fract_y
_atom_site_fract_z
Zn1 Zn 0.0000 0.0000 0.5000
Cd1 Cd 0.5000 0.5000 0.5000
Cl1 Cl 0.0000 0.0000 0.0000
# density	4.35	g/cm3
# distance to the lowest polymorph of the same formula	337.2	meV per atom
# ΔE_f (raw)	0.497	eV per atom
# D(E_F)	0.6978	states/eV per atom
# magnetization	0.00	μB per cell


What did the second record say?
# PBE Zn2CdCl, relaxed
data_Zn2CdCl
_symmetry_space_group_name_H-M 'P 1 2/m 1'
_symmetry_Int_Tables_number 10
_symmetry_space_group_name_Hall '-P 2y'
_cell_length_a 3.5310
_cell_length_b 5.4540
_cell_length_c 4.6387
_cell_angle_alpha 90.00
_cell_angle_beta 97.94
_cell_angle_gamma 90.00
loop_
_atom_site_label
_atom_site_type_symbol
_atom_site_fract_x
_atom_site_fract_y
_atom_site_fract_z
Zn1 Zn 0.2080 0.0000 0.2585
Cd1 Cd 0.0000 0.5000 0.5000
Cl1 Cl 0.5000 0.5000 0.0000
# density	5.23	g/cm3
# distance to the lowest polymorph of the same formula	142.8	meV per atom
# ΔE_f (raw)	-0.006	eV per atom
# D(E_F)	0.2602	states/eV per atom
# magnetization	0.00	μB per cell